First-principles (PBE) data for Cs3Na2ScBr8 after structural relaxation, as listed in Alexandria via LeMat-Bulk.

Cell: 7.8549 7.8549 10.6937 Å, 90.00 90.00 120.00°
Sites, in units of the cell vectors:
Cs 0.3333 0.6667 0.6262
Cs 0.6667 0.3333 0.3738
Cs 0.0000 0.0000 0.0000
Na 0.3333 0.6667 0.1963
Na 0.6667 0.3333 0.8037
Sc 0.0000 0.0000 0.5000
Br 0.3333 0.6667 0.9458
Br 0.6667 0.3333 0.0542
Br 0.1576 0.8424 0.3516
Br 0.8424 0.1576 0.6484
Br 0.1576 0.3152 0.3516
Br 0.8424 0.6848 0.6484
Br 0.6848 0.8424 0.3516
Br 0.3152 0.1576 0.6484

## Properties
**D(E_F)**: 0.000 states/eV/cell
**Energy relative to the elements, uncorrected**: -1665 meV/atom
**Space-group type**: P-3m1